Record 1
A geometry-optimized Ac2TlGe structure, computed with GGA-PBE.

Summary:
DFT total energy = -17.05 eV per formula unit
DOS at the Fermi energy = 4.31 states/eV per cell
E_form = -1.8 eV per formula unit

a b c (Å): 4.127 4.127 7.573
angles (deg): 90.00 90.00 90.00
Space group P4/mmm (No. 123)
Unique sites:
Ac (0.000, 0.000, 0.223)
Tl (0.500, 0.500, 0.500)
Ge (0.500, 0.500, 0.000)

=====

Record 2
A geometry-optimized BeAsPCl2 structure, computed with GGA-PBE.

Summary:
DFT total energy = -16.55 eV per formula unit
DOS at the Fermi energy = 3.10 states/eV per cell
Energy above the most stable polymorph in this dataset = 0 meV per atom

a b c (Å): 4.240 4.240 4.947
angles (deg): 90.00 90.00 90.00
Space group P4/mmm (No. 123)
Unique sites:
Be (0.000, 0.000, 0.000)
As (0.500, 0.500, 0.500)
P (0.000, 0.000, 0.500)
Cl (0.000, 0.500, 0.000)

=====

no.,magnetization (μB/cell)
1,0.000
2,0.000